# Pr2Y4Ge3O2 | the Alexandria database | GGA-PBE | optimized geometry
data_Pr2Y4Ge3O2
_chemical_formula_sum 'Pr4 Y8 Ge6 O4'
_symmetry_space_group_name_H-M 'I 4/m m m'
_symmetry_Int_Tables_number 139
_symmetry_space_group_name_Hall '-I 4 2'
_cell_length_a 4.5883
_cell_length_b 4.5883
_cell_length_c 24.3008
_cell_angle_alpha 90.00
_cell_angle_beta 90.00
_cell_angle_gamma 90.00
loop_
_atom_site_label
_atom_site_fract_x
_atom_site_fract_y
_atom_site_fract_z
Pr1 0.0000 0.0000 0.1978
Y1 0.0000 0.5000 0.0793
Ge1 0.0000 0.0000 0.3284
Ge2 0.0000 0.0000 0.5000
O1 0.0000 0.0000 0.0913
# Total DFT energy (no corrections) ... -6.96 eV per atom
# Uncorrected formation energy ... -1580 meV per atom